1.
DFT (GGA-PBE) results for a relaxed structure of CdCoAg2.

Formation energy: 26.0 kJ per mole of atoms
Crystal system: tetragonal

a b c (Å): 4.034 4.034 4.129
angles (deg): 90.00 90.00 90.00
Element x y z (fractional)
Ag 0.000 0.000 0.000
Ag 0.500 0.500 0.000
Cd 0.500 0.000 0.500
Co 0.000 0.500 0.500


2.
DFT (GGA-PBE) results for a relaxed structure of BaYAs2O6.

Energy relative to the elements, uncorrected: -2.06 eV per atom
Crystal system: trigonal

a b c (Å): 5.723 5.723 6.948
angles (deg): 65.68 65.68 60.00
Element x y z (fractional)
Ba 0.000 0.000 0.000
Y 0.500 0.500 0.500
As 0.728 0.728 0.816
As 0.272 0.272 0.184
O 0.069 0.495 0.711
O 0.725 0.069 0.711
O 0.505 0.275 0.289
O 0.931 0.505 0.289
O 0.275 0.931 0.289
O 0.495 0.725 0.711


3.
DFT (GGA-PBE) results for a relaxed structure of Zr2HgBiMo.

Formation energy: 58.9 kJ per mole of atoms
Crystal system: tetragonal

a b c (Å): 5.026 5.026 5.321
angles (deg): 90.00 90.00 90.00
Element x y z (fractional)
Mo 0.000 0.000 0.000
Bi 0.500 0.500 0.500
Zr 0.000 0.500 0.000
Zr 0.500 0.000 0.000
Hg 0.000 0.000 0.500


Per-record volume, Å³/f.u.: 67.2, 173.4, 134.4
Per-record total moment, μB per formula unit: 1.317, 0.839, 0.000
Per-record E_tot, eV/atom: -3.16, -6.81, -5.81